Entry 1:
Entry from Alexandria: an optimized crystal structure of TbBr (PBE).

```
TbBr
1.0
10.9603 -0.0061 -0.0041
10.2902 3.7752 -0.0049
10.2901 1.8264 3.3037
Tb Br
2 2
Direct
0.8766 0.8766 0.8766 Tb
0.1234 0.1234 0.1234 Tb
0.3972 0.3972 0.3972 Br
0.6028 0.6028 0.6028 Br
```

Crystal system: trigonal
Energy: -4.358 eV/atom
ΔE_f (raw): -1.206 eV per atom
SG: R-3m, No. 166

Entry 2:
Entry from Alexandria: an optimized crystal structure of LaDyTm3Th (PBE).

```
LaDyTm3Th
1.0
5.0483 0.0000 0.0000
0.0000 7.8550 -1.2283
0.0000 -3.1182 10.1590
Th Tm La Dy
2 6 2 2
Direct
0.7500 0.3806 0.8786 Th
0.2500 0.6194 0.1214 Th
0.2500 0.6242 0.4552 Tm
0.2500 0.6175 0.7938 Tm
0.7500 0.8671 0.0416 Tm
0.7500 0.3758 0.5448 Tm
0.2500 0.1329 0.9584 Tm
0.7500 0.3825 0.2062 Tm
0.2500 0.1235 0.2920 La
0.7500 0.8765 0.7080 La
0.2500 0.1303 0.6291 Dy
0.7500 0.8697 0.3709 Dy
```

Crystal system: monoclinic
Energy: -5.023 eV/atom
Formation energy from the elements: 0.865 kcal/mol of atoms
SG: P2_1/m, No. 11

Entry 3:
Entry from Alexandria: an optimized crystal structure of PmGdAlRu (PBE).

```
PmGdAlRu
1.0
-2.6312 -0.2787 4.2955
-5.0327 -0.3235 -0.1411
-2.2876 -4.3100 1.2818
Al Gd Pm Ru
1 1 1 1
Direct
0.2500 0.2500 0.2500 Al
0.0000 0.0000 0.0000 Gd
0.5000 0.5000 0.5000 Pm
0.7500 0.7500 0.7500 Ru
```

Crystal system: cubic
Energy: -8.223 eV/atom
Formation energy from the elements: -6.012 kcal/mol of atoms
SG: F-43m, No. 216

Entry 4:
Entry from Alexandria: an optimized crystal structure of LiCeHoSi (PBE).

```
LiCeHoSi
1.0
-1.4296 4.7181 -0.8959
-1.4696 1.3423 -4.5984
-4.8225 1.0309 -0.8878
Ce Si Li Ho
1 1 1 1
Direct
0.0000 0.0000 0.0000 Ce
0.7500 0.7500 0.7500 Si
0.2500 0.2500 0.2500 Li
0.5000 0.5000 0.5000 Ho
```

Crystal system: cubic
Energy: -4.731 eV/atom
ΔE_f (raw): -0.268 eV per atom
SG: F-43m, No. 216

Entry 5:
Entry from Alexandria: an optimized crystal structure of Mn4Al3W (PBE).

```
Mn4Al3W
1.0
-1.9208 -2.2267 0.3691
1.0539 -1.3133 -2.4389
7.9423 -5.7673 6.5375
Mn W Al
4 1 3
Direct
0.0000 0.0000 0.6272 Mn
0.0000 0.0000 0.8762 Mn
0.0000 0.0000 0.1238 Mn
0.0000 0.0000 0.3728 Mn
0.5000 0.5000 0.0000 W
0.5000 0.5000 0.7562 Al
0.5000 0.5000 0.2438 Al
0.5000 0.5000 0.5000 Al
```

Crystal system: tetragonal
Energy: -7.799 eV/atom
Formation energy from the elements: -4.413 kcal/mol of atoms
SG: P4/mmm, No. 123

Entry 6:
Entry from Alexandria: an optimized crystal structure of Th3IrRh2 (PBE).

```
Th3IrRh2
1.0
5.8163 -0.0091 0.0000
0.0131 8.2252 0.0000
0.0000 0.0000 12.3442
Th Rh Ir
12 8 4
Direct
0.7501 0.8768 0.0826 Th
0.7499 0.8763 0.7505 Th
0.2499 0.6232 0.5826 Th
0.7500 0.3759 0.0831 Th
0.2500 0.6241 0.9169 Th
0.2499 0.1232 0.9174 Th
0.7501 0.3768 0.4174 Th
0.7499 0.3763 0.7495 Th
0.2500 0.1241 0.5831 Th
0.7500 0.8759 0.4169 Th
0.2501 0.6237 0.2505 Th
0.2501 0.1237 0.2495 Th
0.7501 0.6262 0.2502 Rh
0.7500 0.6246 0.9166 Rh
0.2500 0.8754 0.4166 Rh
0.7500 0.1246 0.5834 Rh
0.7501 0.1262 0.2498 Rh
0.2499 0.3738 0.7498 Rh
0.2500 0.3754 0.0834 Rh
0.2499 0.8738 0.7502 Rh
0.7499 0.6276 0.5833 Ir
0.2501 0.8724 0.0833 Ir
0.2501 0.3724 0.4167 Ir
0.7499 0.1276 0.9167 Ir
```

Crystal system: orthorhombic
Energy: -8.568 eV/atom
Formation energy from the elements: -21.475 kcal/mol of atoms
SG: Pnma, No. 62

Entry 7:
Entry from Alexandria: an optimized crystal structure of SrTeSe3 (PBE).

```
SrTeSe3
1.0
-5.7087 0.4212 0.1110
-0.2824 -4.6896 3.2721
0.3317 3.2572 4.6968
Te Se Sr
1 3 1
Direct
0.5000 0.5000 0.5000 Te
0.0000 0.5000 0.0000 Se
0.0000 0.0000 0.5000 Se
0.5000 0.0000 0.0000 Se
0.0000 0.0000 0.0000 Sr
```

Crystal system: cubic
Energy: -2.696 eV/atom
Distance to the lowest polymorph of the same formula: 1.190 eV per atom
ΔE_f (raw): 0.360 eV per atom
SG: Pm-3m, No. 221

Entry 8:
Entry from Alexandria: an optimized crystal structure of CaP2CCl (PBE).

```
CaP2CCl
1.0
-1.4128 -0.3091 -3.6055
-2.5576 -2.6529 1.2296
-4.0533 4.4663 1.2053
P C Ca Cl
2 1 1 1
Direct
0.0000 0.5000 0.0000 P
0.5000 0.0000 0.0000 P
0.0000 0.0000 0.0000 C
0.5000 0.5000 0.5000 Ca
0.0000 0.0000 0.5000 Cl
```

Crystal system: tetragonal
Energy: -4.665 eV/atom
Distance to the lowest polymorph of the same formula: 0.000 eV per atom
ΔE_f (raw): 0.114 eV per atom
SG: P4/mmm, No. 123

Repeat the seventh record exactly.
Entry from Alexandria: an optimized crystal structure of SrTeSe3 (PBE).

```
SrTeSe3
1.0
-5.7087 0.4212 0.1110
-0.2824 -4.6896 3.2721
0.3317 3.2572 4.6968
Te Se Sr
1 3 1
Direct
0.5000 0.5000 0.5000 Te
0.0000 0.5000 0.0000 Se
0.0000 0.0000 0.5000 Se
0.5000 0.0000 0.0000 Se
0.0000 0.0000 0.0000 Sr
```

Crystal system: cubic
Energy: -2.696 eV/atom
Distance to the lowest polymorph of the same formula: 1.190 eV per atom
ΔE_f (raw): 0.360 eV per atom
SG: Pm-3m, No. 221